Rb2InSn2: optimized geometry, PBE.

Its calculated volume is 398.5 Å³/cell. The value obtained for the calculated density is 4.36 g/cm3. Its formation energy is 0.4 eV/f.u. The value obtained for the density of states at the Fermi level is 7.1 states/eV/cell. The value obtained for the calculated total energy is -2.447 eV/atom.

It has space group P4/mbm (No. 127), with a = 10.6179 Å, b = 10.6179 Å, c = 3.5345 Å, α = 90.00°, β = 90.00° and γ = 90.00°. The asymmetric unit holds Rb at (0.1998, 0.3002, 0.0000), In at (0.0000, 0.0000, 0.5000) and Sn at (0.0952, 0.5952, 0.5000).

Rb2InSn: optimized geometry, PBE.

Its calculated volume is 689.4 Å³/cell. The value obtained for the calculated density is 3.90 g/cm3. Its formation energy is -0.5 eV/f.u. The value obtained for the density of states at the Fermi level is 10.3 states/eV/cell. The value obtained for the calculated total energy is -2.303 eV/atom.

It has space group Cmcm (No. 63), with a = 11.6031 Å, b = 9.0386 Å, c = 6.5738 Å, α = 90.00°, β = 90.00° and γ = 90.00°. The asymmetric unit holds Rb at (0.1720, 0.1497, 0.2500), In at (0.0000, 0.5000, 0.0000) and Sn at (0.0000, 0.2339, 0.7500).

RbIn2Sn8: optimized geometry, PBE.

Its calculated volume is 424.4 Å³/cell. The value obtained for the calculated density is 4.95 g/cm3. Its formation energy is 1.1 eV/f.u. The value obtained for the density of states at the Fermi level is 6.0 states/eV/cell. The value obtained for the calculated total energy is -3.395 eV/atom.

It has space group P4/mmm (No. 123), with a = 6.2603 Å, b = 6.2603 Å, c = 10.8284 Å, α = 90.00°, β = 90.00° and γ = 90.00°. The asymmetric unit holds Rb at (0.0000, 0.0000, 0.0000), In at (0.0000, 0.5000, 0.5000) and Sn at (0.2519, 0.2519, 0.2965).

RbInSn3: optimized geometry, PBE.

Its calculated volume is 197.7 Å³/cell. The value obtained for the calculated density is 4.67 g/cm3. Its formation energy is 1.4 eV/f.u. The value obtained for the density of states at the Fermi level is 3.7 states/eV/cell. The value obtained for the calculated total energy is -2.865 eV/atom.

It has space group Pm-3m (No. 221), with a = 5.8255 Å, b = 5.8255 Å, c = 5.8255 Å, α = 90.00°, β = 90.00° and γ = 90.00°. The asymmetric unit holds Rb at (0.0000, 0.0000, 0.0000), In at (0.5000, 0.5000, 0.5000) and Sn at (0.0000, 0.5000, 0.5000).